w:
Material: MgTi2Sn2
Method: DFT, PBE
State: relaxed

## Properties
- N(E_F) (states/eV per cell) = 6.9
- ρ (g cm⁻³) = 5.731

Cell and atoms, written as extended XYZ:
```
10
Lattice="7.5489 0.0000 0.0000 0.0000 7.5489 0.0000 0.0000 0.0000 3.6350" Properties=species:S:1:pos:R:3 pbc="T T T"
Mg 0.0000 0.0000 0.0000
Mg 3.7745 3.7745 0.0000
Sn 6.4529 4.8705 0.0000
Sn 1.0960 2.6784 0.0000
Ti 2.6219 1.1525 1.8175
Ti 1.1525 4.9270 1.8175
Sn 2.6784 6.4529 0.0000
Ti 6.3964 2.6219 1.8175
Sn 4.8705 1.0960 0.0000
Ti 4.9270 6.3964 1.8175
```


x:
Material: MgTi2Sn2
Method: DFT, PBE
State: relaxed

## Properties
- N(E_F) (states/eV per cell) = 10.1
- ρ (g cm⁻³) = 5.615

Cell and atoms, written as extended XYZ:
```
10
Lattice="8.1256 0.0000 0.0000 0.0000 8.1256 0.0000 0.0000 0.0000 3.2022" Properties=species:S:1:pos:R:3 pbc="T T T"
Ti 5.0261 0.9633 0.0000
Sn 1.4416 5.5045 1.6011
Ti 7.1623 5.0261 0.0000
Sn 2.6212 1.4416 1.6011
Ti 3.0995 7.1623 0.0000
Sn 6.6840 2.6212 1.6011
Sn 5.5045 6.6840 1.6011
Mg 0.0000 0.0000 0.0000
Ti 0.9633 3.0995 0.0000
Mg 4.0628 4.0628 0.0000
```


Going by the energies, w is most stable and the next is 26 meV per atom up.


w:
Material: MgTlSn3
Method: DFT, PBE
State: relaxed

## Properties
- N(E_F) (states/eV per cell) = 2.7
- ρ (g cm⁻³) = 5.952

Cell and atoms, written as extended XYZ:
```
5
Lattice="-2.5553 -4.5552 -1.6062 4.8006 -2.5958 -0.2753 -0.5335 -1.5398 5.2157" Properties=species:S:1:pos:R:3 pbc="T T T"
Tl 0.8559 -4.3454 1.6671
Sn 2.4003 -1.2979 -0.1377
Sn -0.2667 -0.7699 2.6079
Sn -1.2776 -2.2776 -0.8031
Mg 0.0000 0.0000 0.0000
```


x:
Material: MgTlSn3
Method: DFT, PBE
State: relaxed

## Properties
- N(E_F) (states/eV per cell) = 3.9
- ρ (g cm⁻³) = 7.030

Cell and atoms, written as extended XYZ:
```
10
Lattice="-3.6781 -4.4008 1.6846 1.1680 -3.0992 -5.5461 6.0327 -0.5164 5.3210" Properties=species:S:1:pos:R:3 pbc="T T T"
Sn 1.0974 -2.9198 -0.0913
Mg -1.8390 -2.2004 0.8423
Sn 1.8639 -3.6072 4.2162
Sn -0.7729 -4.7329 2.4820
Tl 4.8788 -2.6863 2.5286
Mg 0.0000 0.0000 0.0000
Tl -1.3561 -5.3302 -1.0690
Sn 2.4252 -5.0966 1.5508
Sn 1.6588 -4.4092 -2.7567
Sn 4.2956 -3.2835 -1.0225
```


Going by the energies, x is most stable and the next is 337 meV per atom up.


w:
Material: MgTl2Sn2
Method: DFT, PBE
State: relaxed

## Properties
- N(E_F) (states/eV per cell) = 2.8
- ρ (g cm⁻³) = 7.496

Cell and atoms, written as extended XYZ:
```
10
Lattice="-1.2983 0.2518 -7.5540 -7.0693 -2.7525 1.1232 -1.7615 4.7117 0.4598" Properties=species:S:1:pos:R:3 pbc="T T T"
Tl -7.6272 0.2353 -3.8854
Tl -5.8247 0.5584 -0.2916
Sn -1.7981 -0.2175 -4.6600
Sn -6.5695 -2.2832 -1.7708
Tl -2.5019 1.9757 -2.0856
Tl -4.3043 1.6526 -5.6794
Sn -2.7422 -0.9637 -0.6299
Mg 0.0000 0.0000 0.0000
Sn -5.6253 -1.5370 -5.8010
Mg -4.1838 -1.2504 -3.2154
```


x:
Material: MgTl2Sn2
Method: DFT, PBE
State: relaxed

## Properties
- N(E_F) (states/eV per cell) = 1.7
- ρ (g cm⁻³) = 8.072

Cell and atoms, written as extended XYZ:
```
5
Lattice="3.3890 0.0000 -0.5438 -0.0872 3.3878 -0.5438 0.1801 0.1848 11.9550" Properties=species:S:1:pos:R:3 pbc="T T T"
Sn 1.9715 2.0229 1.4548
Tl 0.7060 0.7244 4.4000
Sn 1.5102 1.5496 9.4126
Mg 0.0000 0.0000 0.0000
Tl 2.7758 2.8482 6.4674
```


Going by the energies, x is most stable and the next is 86 meV per atom up.


w:
Material: MgTl2Sn2
Method: DFT, PBE
State: relaxed

## Properties
- N(E_F) (states/eV per cell) = 2.5
- ρ (g cm⁻³) = 7.241

Cell and atoms, written as extended XYZ:
```
5
Lattice="4.2368 0.0000 0.0000 0.0000 4.2368 0.0000 2.1184 2.1184 8.5659" Properties=species:S:1:pos:R:3 pbc="T T T"
Mg 0.0000 0.0000 0.0000
Tl 4.2368 4.2368 6.9148
Sn 4.2368 2.1184 4.2830
Tl 2.1184 2.1184 1.6512
Sn 2.1184 4.2368 4.2830
```


x:
Material: MgTl2Sn2
Method: DFT, PBE
State: relaxed

## Properties
- N(E_F) (states/eV per cell) = 2.6
- ρ (g cm⁻³) = 7.310

Cell and atoms, written as extended XYZ:
```
5
Lattice="4.3696 0.0000 0.0000 0.0000 4.3696 0.0000 2.1848 2.1848 7.9771" Properties=species:S:1:pos:R:3 pbc="T T T"
Tl 2.1848 4.3696 3.9886
Mg 0.0000 0.0000 0.0000
Tl 4.3696 2.1848 3.9886
Sn 2.1848 2.1848 1.4464
Sn 4.3696 4.3696 6.5307
```


Going by the energies, w is most stable and the next is 49 meV per atom up.


w:
Material: MgTlSn2
Method: DFT, PBE
State: relaxed

## Properties
- N(E_F) (states/eV per cell) = 5.5
- ρ (g cm⁻³) = 6.908

Cell and atoms, written as extended XYZ:
```
8
Lattice="8.5135 0.0000 0.0000 0.0000 8.5135 0.0000 4.2568 4.2568 3.0916" Properties=species:S:1:pos:R:3 pbc="T T T"
Sn 10.6419 10.4893 2.3187
Sn 6.2326 2.1284 0.7729
Mg 4.2568 4.2568 0.0000
Tl 0.0000 0.0000 0.0000
Sn 2.2809 6.3851 0.7729
Tl 8.5135 4.2568 1.5458
Mg 4.2568 8.5135 1.5458
Sn 6.3851 6.5377 2.3187
```


x:
Material: MgTlSn2
Method: DFT, PBE
State: relaxed

## Properties
- N(E_F) (states/eV per cell) = 1.7
- ρ (g cm⁻³) = 7.242

Cell and atoms, written as extended XYZ:
```
4
Lattice="3.4048 -0.4037 0.0984 0.4027 3.4049 0.0984 -0.2887 -0.2275 9.0757" Properties=species:S:1:pos:R:3 pbc="T T T"
Sn 1.8396 1.4500 2.0884
Tl -0.1443 -0.1138 4.5379
Sn 1.6793 1.3237 7.1841
Mg 0.0000 0.0000 0.0000
```


y:
Material: MgTlSn2
Method: DFT, PBE
State: relaxed

## Properties
- N(E_F) (states/eV per cell) = 1.5
- ρ (g cm⁻³) = 7.253

Cell and atoms, written as extended XYZ:
```
4
Lattice="-2.5956 -3.7639 1.7770 3.7634 -1.5060 2.3071 -1.2247 2.5841 3.6846" Properties=species:S:1:pos:R:3 pbc="T T T"
Sn -0.6124 1.2921 1.8423
Sn 1.8817 -0.7530 1.1536
Mg -0.0285 -1.3429 3.8844
Tl -1.2978 -1.8820 0.8885
```


Going by the energies, x is most stable and the next is 46 meV per atom up.


w:
Material: MgTlSn2
Method: DFT, PBE
State: relaxed

## Properties
- N(E_F) (states/eV per cell) = 1.8
- ρ (g cm⁻³) = 7.204

Cell and atoms, written as extended XYZ:
```
4
Lattice="-0.1526 -4.1033 3.4076 4.2903 -1.1857 2.9427 -0.0404 0.8998 5.2601" Properties=species:S:1:pos:R:3 pbc="T T T"
Mg 3.0730 -3.2919 8.7078
Sn 4.1375 -5.2885 6.3509
Tl 2.0489 -2.1950 5.8046
Sn 1.0244 -1.0975 2.9024
```


x:
Material: MgTlSn2
Method: DFT, PBE
State: relaxed

## Properties
- N(E_F) (states/eV per cell) = 2.0
- ρ (g cm⁻³) = 7.127

Cell and atoms, written as extended XYZ:
```
4
Lattice="-2.4528 1.2513 2.0310 -0.3141 -1.1459 3.2087 5.7779 7.6754 5.1311" Properties=species:S:1:pos:R:3 pbc="T T T"
Tl 1.5054 3.8904 5.1854
Mg 0.0000 0.0000 0.0000
Sn 2.4093 6.0079 7.8544
Sn 0.6016 1.7729 2.5164
```


Going by the energies, x is most stable and the next is 40 meV per atom up.